A plane-wave DFT calculation with PBE-GGA was carried out for crystalline ZrTlNiPt at its relaxed geometry.

Unit cell a=4.650 b=4.650 c=4.650 alpha=60.00 beta=60.00 gamma=60.00
Sites, in units of the cell vectors:
Zr (0.000, 0.000, 0.000)
Tl (0.500, 0.500, 0.500)
Ni (0.750, 0.750, 0.750)
Pt (0.250, 0.250, 0.250)

Calculated values
Electronic total energy   -24.0 eV/f.u.

=====

A plane-wave DFT calculation with PBE-GGA was carried out for crystalline TmNiPt at its relaxed geometry.

Unit cell a=4.434 b=4.434 c=4.434 alpha=60.00 beta=60.00 gamma=60.00
Sites, in units of the cell vectors:
Tm (0.000, 0.000, 0.000)
Ni (0.750, 0.750, 0.750)
Pt (0.250, 0.250, 0.250)

Calculated values
Formation enthalpy at 0 K   -218 meV per atom

=====

A plane-wave DFT calculation with PBE-GGA was carried out for crystalline TmNiPt at its relaxed geometry.

Unit cell a=4.311 b=4.311 c=4.311 alpha=60.00 beta=60.00 gamma=60.00
Sites, in units of the cell vectors:
Tm (0.000, 0.000, 0.000)
Ni (0.750, 0.750, 0.750)
Pt (0.500, 0.500, 0.500)

Calculated values
Formation enthalpy at 0 K   -635 meV per atom

=====

A plane-wave DFT calculation with PBE-GGA was carried out for crystalline Tm3Zn3NiPt2 at its relaxed geometry.

Unit cell a=7.144 b=7.144 c=3.772 alpha=90.00 beta=90.00 gamma=120.00
Sites, in units of the cell vectors:
Tm (0.000, 0.402, 0.000)
Tm (0.402, 0.000, 0.000)
Tm (0.598, 0.598, 0.000)
Zn (0.000, 0.762, 0.500)
Zn (0.238, 0.238, 0.500)
Zn (0.762, 0.000, 0.500)
Ni (0.000, 0.000, 0.000)
Pt (0.333, 0.667, 0.500)
Pt (0.667, 0.333, 0.500)

Calculated values
Formation enthalpy at 0 K   -838 meV per atom

=====

A plane-wave DFT calculation with PBE-GGA was carried out for crystalline Tm3Zn3Ni2Pt at its relaxed geometry.

Unit cell a=7.028 b=7.028 c=3.779 alpha=90.00 beta=90.00 gamma=120.00
Sites, in units of the cell vectors:
Tm (0.000, 0.408, 0.000)
Tm (0.408, 0.000, 0.000)
Tm (0.592, 0.592, 0.000)
Zn (0.000, 0.737, 0.500)
Zn (0.263, 0.263, 0.500)
Zn (0.737, 0.000, 0.500)
Ni (0.333, 0.667, 0.500)
Ni (0.667, 0.333, 0.500)
Pt (0.000, 0.000, 0.000)

Calculated values
Formation enthalpy at 0 K   -625 meV per atom

=====

A plane-wave DFT calculation with PBE-GGA was carried out for crystalline UNiPt at its relaxed geometry.

Unit cell a=4.311 b=4.311 c=4.311 alpha=60.00 beta=60.00 gamma=60.00
Sites, in units of the cell vectors:
U (0.000, 0.000, 0.000)
Ni (0.250, 0.250, 0.250)
Pt (0.500, 0.500, 0.500)

Calculated values
Formation enthalpy at 0 K   -266 meV per atom

=====

A plane-wave DFT calculation with PBE-GGA was carried out for crystalline UNiPt at its relaxed geometry.

Unit cell a=4.482 b=4.482 c=4.482 alpha=60.00 beta=60.00 gamma=60.00
Sites, in units of the cell vectors:
U (0.000, 0.000, 0.000)
Ni (0.750, 0.750, 0.750)
Pt (0.250, 0.250, 0.250)

Calculated values
Formation enthalpy at 0 K   117 meV per atom

=====

A plane-wave DFT calculation with PBE-GGA was carried out for crystalline NiPt2W at its relaxed geometry.

Unit cell a=4.364 b=4.364 c=4.364 alpha=60.00 beta=60.00 gamma=60.00
Sites, in units of the cell vectors:
Ni (0.000, 0.000, 0.000)
Pt (0.250, 0.250, 0.250)
Pt (0.500, 0.500, 0.500)
W (0.750, 0.750, 0.750)

Calculated values
Formation enthalpy at 0 K   11 meV per atom